A plane-wave DFT calculation with PBE was carried out for an optimized crystal structure of LaAgSb2.

Calculated values
Distance to the lowest polymorph of the same formula: 0.376 eV/atom
DOS(E_F): 2.68 states/eV per cell
Formation energy (no corrections): -0.37 eV per atom
Calculated volume: 109 Å³/cell
Spin magnetization: 0.0 μB/cell

Cell lengths 4.069, 4.069, 6.576 Å; angles 90.00, 90.00, 90.00 degrees
Space group P4/mmm (No. 123)
One atom of each set of equivalent atoms:
1 La 0.000 0.000 0.000 (multiplicity 1)
2 Ag 0.000 0.000 0.500 (multiplicity 1)
3 Sb 0.500 0.500 0.275 (multiplicity 2)